No. 1
Compound: TiMnAs
Source: Alexandria
Functional: GGA-PBE
Structure: relaxed

## Properties
Density of states at the Fermi level   0.608 states/eV/atom
VASP energy   -23.67 eV per formula unit
Magnetization   1.83 μB per cell
SG   P-62m

Unit cell a=6.4008 b=6.4008 c=3.5177 alpha=90.00 beta=90.00 gamma=120.00
Closest atoms and distances in Å follow each position.
Element x y z (fractional)
1 As 0.0000 0.0000 0.0000  6 Mn 2.37, 3 Ti 2.63
2 Ti 0.5885 0.0000 0.0000  5 As 2.61-2.63, 6 Mn 2.80-2.89
3 Ti 0.0000 0.5885 0.0000  5 As 2.61-2.63, 6 Mn 2.80-2.89
4 Mn 0.0000 0.2484 0.5000  4 As 2.37-2.45
5 Mn 0.2484 0.0000 0.5000  4 As 2.37-2.45
6 Ti 0.4115 0.4115 0.0000  5 As 2.61-2.63, 6 Mn 2.80-2.89
7 As 0.3333 0.6667 0.5000  3 Mn 2.45, 6 Ti 2.61
8 As 0.6667 0.3333 0.5000  3 Mn 2.45, 6 Ti 2.61
9 Mn 0.7516 0.7516 0.5000  4 As 2.37-2.45


No. 2
Compound: Ta2NbGaW
Source: Alexandria
Functional: GGA-PBE
Structure: relaxed

## Properties
Density of states at the Fermi level   1.266 states/eV/atom
VASP energy   -42.60 eV per formula unit
Magnetization   0.00 μB per cell
SG   P4/mmm

Unit cell a=4.6789 b=4.6367 c=4.6789 alpha=90.00 beta=90.00 gamma=90.00
Closest atoms and distances in Å follow each position.
Element x y z (fractional)
1 Ta 0.0000 0.0000 0.5000  2 Ga 2.34
2 Ta 0.5000 0.0000 0.0000  2 Ga 2.34
3 Ga 0.0000 0.0000 0.0000  2 Nb 2.32, 4 Ta 2.34
4 W 0.5000 0.5000 0.5000  8 Ta 3.29, 4 Nb 3.31
5 Nb 0.0000 0.5000 0.0000  2 Ga 2.32


No. 3
Compound: HfPt2I
Source: Alexandria
Functional: GGA-PBE
Structure: relaxed

## Properties
Density of states at the Fermi level   0.667 states/eV/atom
VASP energy   -23.80 eV per formula unit
Magnetization   0.00 μB per cell
SG   Fm-3m

Unit cell a=4.8296 b=4.8296 c=4.8296 alpha=60.00 beta=60.00 gamma=60.00
Closest atoms and distances in Å follow each position.
Element x y z (fractional)
1 Pt 0.7500 0.7500 0.7500  4 Hf 2.96, 4 I 2.96
2 Pt 0.2500 0.2500 0.2500  4 Hf 2.96, 4 I 2.96
3 I 0.0000 0.0000 0.0000  8 Pt 2.96
4 Hf 0.5000 0.5000 0.5000  8 Pt 2.96


Question: Which formula does entry 1 have?
Answer: TiMnAs